A relaxed Cs2Fe3CoF12 crystal, computed with GGA+U.

Calculated values
VASP energy ... -5.020 eV/atom
Space-group type ... No. 166
Total magnetic moment ... 13.0 μB per formula unit

Cell: 7.3878 7.3878 7.3878 Å, 60.77 60.77 60.77°
Fractional coordinates of all 18 atoms:
1 Fe 0.0000 0.0000 0.5000
2 Fe 0.0000 0.5000 0.0000
3 Fe 0.5000 0.0000 0.0000
4 F 0.6776 0.0675 0.6776
5 F 0.0675 0.6776 0.6776
6 F 0.3224 0.9325 0.3224
7 F 0.6904 0.0652 0.0652
8 F 0.6776 0.6776 0.0675
9 F 0.3224 0.3224 0.9325
10 F 0.9348 0.3096 0.9348
11 F 0.9348 0.9348 0.3096
12 F 0.0652 0.0652 0.6904
13 F 0.9325 0.3224 0.3224
14 F 0.3096 0.9348 0.9348
15 F 0.0652 0.6904 0.0652
16 Co 0.0000 0.0000 0.0000
17 Cs 0.3710 0.3710 0.3710
18 Cs 0.6290 0.6290 0.6290